Computed, not measured: Ba2NiWO6 at its PBEsol-relaxed geometry at the SCAN level of DFT.

Properties
DOS(E_F) = 0.0 states/eV/cell
Crystal system = cubic
Formation energy without anion corrections = -2.605 eV per atom

```
data_Ba2NiWO6
_space_group_name_H-M_alt 'F m -3 m'
_space_group_IT_number 225
_space_group_name_Hall '-F 4 2 3'
_cell_length_a 8.031
_cell_length_b 8.031
_cell_length_c 8.031
_cell_angle_alpha 90.00
_cell_angle_beta 90.00
_cell_angle_gamma 90.00
loop_
_atom_site_label
_atom_site_type_symbol
_atom_site_fract_x
_atom_site_fract_y
_atom_site_fract_z
Ba1 Ba 0.250 0.250 0.250
Ni1 Ni 0.000 0.000 0.000
W1 W 0.000 0.000 0.500
O1 O 0.000 0.000 0.259
```